DFT (GGA-PBE) results for crystalline PrGdEr at its relaxed geometry.

Summary:
ρ (g/cm³): 7.787
Formation energy from the elements (eV per atom): 0.02
Total magnetic moment (μB per formula unit): 7.42
Offset from the most stable computed form (meV per atom): 0
Raw total energy (eV for the cell shown): -23.36

a = 3.611 Å, b = 3.611 Å, c = 8.788 Å
α = 90.00°, β = 90.00°, γ = 120.00°
Atoms (fractional coordinates):
Pr (0.000, 0.000, 0.000)
Gd (0.333, 0.667, 0.658)
Er (0.667, 0.333, 0.332)

=====

DFT (GGA-PBE) results for crystalline Mg3Zn3Ir2Rh at its relaxed geometry.

Summary:
ρ (g/cm³): 8.952
Formation energy from the elements (eV per atom): -0.26
Total magnetic moment (μB per formula unit): 0.00
Raw total energy (eV for the cell shown): -36.06

a = 7.395 Å, b = 7.395 Å, c = 2.963 Å
α = 90.00°, β = 90.00°, γ = 120.00°
Atoms (fractional coordinates):
Mg (0.000, 0.713, 0.000)
Mg (0.287, 0.287, 0.000)
Mg (0.713, 0.000, 0.000)
Zn (0.000, 0.384, 0.500)
Zn (0.384, 0.000, 0.500)
Zn (0.616, 0.616, 0.500)
Ir (0.333, 0.667, 0.000)
Ir (0.667, 0.333, 0.000)
Rh (0.000, 0.000, 0.500)

=====

DFT (GGA-PBE) results for crystalline ThZr at its relaxed geometry.

Summary:
ρ (g/cm³): 9.780
Formation energy from the elements (eV per atom): 0.14
Total magnetic moment (μB per formula unit): 0.00
Raw total energy (eV for the cell shown): -15.70

a = 3.800 Å, b = 3.800 Å, c = 3.800 Å
α = 90.00°, β = 90.00°, γ = 90.00°
Atoms (fractional coordinates):
Th (0.000, 0.000, 0.000)
Zr (0.500, 0.500, 0.500)

=====

Please write out number 1 again, unchanged.
DFT (GGA-PBE) results for crystalline PrGdEr at its relaxed geometry.

Summary:
ρ (g/cm³): 7.787
Formation energy from the elements (eV per atom): 0.02
Total magnetic moment (μB per formula unit): 7.42
Offset from the most stable computed form (meV per atom): 0
Raw total energy (eV for the cell shown): -23.36

a = 3.611 Å, b = 3.611 Å, c = 8.788 Å
α = 90.00°, β = 90.00°, γ = 120.00°
Atoms (fractional coordinates):
Pr (0.000, 0.000, 0.000)
Gd (0.333, 0.667, 0.658)
Er (0.667, 0.333, 0.332)

=====

> What is the formula in the third record?

ThZr

=====

Please write out number 2 again, unchanged.
DFT (GGA-PBE) results for crystalline Mg3Zn3Ir2Rh at its relaxed geometry.

Summary:
ρ (g/cm³): 8.952
Formation energy from the elements (eV per atom): -0.26
Total magnetic moment (μB per formula unit): 0.00
Raw total energy (eV for the cell shown): -36.06

a = 7.395 Å, b = 7.395 Å, c = 2.963 Å
α = 90.00°, β = 90.00°, γ = 120.00°
Atoms (fractional coordinates):
Mg (0.000, 0.713, 0.000)
Mg (0.287, 0.287, 0.000)
Mg (0.713, 0.000, 0.000)
Zn (0.000, 0.384, 0.500)
Zn (0.384, 0.000, 0.500)
Zn (0.616, 0.616, 0.500)
Ir (0.333, 0.667, 0.000)
Ir (0.667, 0.333, 0.000)
Rh (0.000, 0.000, 0.500)

=====

Please write out number 3 again, unchanged.
DFT (GGA-PBE) results for crystalline ThZr at its relaxed geometry.

Summary:
ρ (g/cm³): 9.780
Formation energy from the elements (eV per atom): 0.14
Total magnetic moment (μB per formula unit): 0.00
Raw total energy (eV for the cell shown): -15.70

a = 3.800 Å, b = 3.800 Å, c = 3.800 Å
α = 90.00°, β = 90.00°, γ = 90.00°
Atoms (fractional coordinates):
Th (0.000, 0.000, 0.000)
Zr (0.500, 0.500, 0.500)